(1)
This record from Alexandria describes a relaxed structure of NpAsRhSe. The functional is PBE.

ρ: 10.57 g/cm³
Electronic total energy: -7.79 eV per atom

The structure in CIF format:
```
data_NpAsRhSe
_cell_length_a 4.101
_cell_length_b 4.101
_cell_length_c 9.229
_cell_angle_alpha 90.00
_cell_angle_beta 90.00
_cell_angle_gamma 90.00
_space_group_name_H-M_alt 'P 4/n m m'
_space_group_IT_number 129
loop_
_space_group_symop_operation_xyz
'x,y,z'
'-x,-y,-z'
'-y+1/2,x,z'
'y+1/2,-x,-z'
'-x+1/2,-y+1/2,z'
'x+1/2,y+1/2,-z'
'y,-x+1/2,z'
'-y,x+1/2,-z'
'x+1/2,-y,-z'
'-x+1/2,y,z'
'-y,-x,-z'
'y,x,z'
'-x,y+1/2,-z'
'x,-y+1/2,z'
'y+1/2,x+1/2,-z'
'-y+1/2,-x+1/2,z'
loop_
_atom_site_label
_atom_site_type_symbol
_atom_site_fract_x
_atom_site_fract_y
_atom_site_fract_z
Np1 Np 0.250 0.250 0.228
As1 As 0.250 0.250 0.663
Rh1 Rh 0.250 0.750 0.500
Se1 Se 0.250 0.750 0.000
```



(2)
This record from Alexandria describes a relaxed structure of ErZn6Ni4. The functional is PBE.

Energy of formation: -0.158 eV per atom
ρ: 7.54 g/cm³
Electronic total energy: -3.37 eV per atom

The structure in CIF format:
```
data_ErZn6Ni4
_cell_length_a 6.233
_cell_length_b 6.233
_cell_length_c 9.007
_cell_angle_alpha 90.00
_cell_angle_beta 90.00
_cell_angle_gamma 90.00
_space_group_name_H-M_alt 'I -4 2 m'
_space_group_IT_number 121
_space_group_name_Hall 'I -4 2'
loop_
_atom_site_label
_atom_site_type_symbol
_atom_site_fract_x
_atom_site_fract_y
_atom_site_fract_z
Er1 Er 0.000 0.000 0.000
Zn1 Zn 0.000 0.500 0.000
Zn2 Zn 0.189 0.189 0.706
Ni1 Ni 0.165 0.165 0.428
```